Record 1
A relaxed ReAs3I crystal, computed with PBE.

Cell: 4.8951 4.8951 4.8951 Å, 90.00 90.00 90.00°
Closest atoms and distances in Å follow each position.
Positions (direct):
1 Re 0.0000 0.0000 0.0000  6 As 2.45
2 As 0.0000 0.0000 0.5000  2 Re 2.45
3 As 0.0000 0.5000 0.0000  2 Re 2.45
4 As 0.5000 0.0000 0.0000  2 Re 2.45
5 I 0.5000 0.5000 0.5000  12 As 3.46

Properties
Raw formation energy   0.471 eV/atom
ΔE to the lowest computed polymorph   0 meV per atom

***

Record 2
A relaxed Sc2AlRu crystal, computed with PBE.

Cell: 10.7491 3.2533 4.6721 Å, 90.00 115.69 90.00°
Closest atoms and distances in Å follow each position.
Positions (direct):
1 Sc 0.0000 0.0000 0.0000  2 Ru 2.73, 4 Al 2.92-2.93
2 Sc 0.2140 0.0000 0.7140  4 Ru 2.85, 2 Sc 3.12-3.13, 2 Al 3.14
3 Sc 0.5000 0.5000 0.0000  2 Ru 2.73, 4 Al 2.92-2.93
4 Sc 0.7140 0.5000 0.7140  4 Ru 2.85, 2 Sc 3.12-3.13, 2 Al 3.14
5 Al 0.4303 0.0000 0.4301  2 Ru 2.56
6 Al 0.9303 0.5000 0.4301  2 Ru 2.56
7 Ru 0.2257 0.5000 0.2260  2 Al 2.56, 6 Sc 2.73-2.85
8 Ru 0.7257 0.0000 0.2260  2 Al 2.56, 6 Sc 2.73-2.85

Properties
Calculated formation energy   -457 meV per atom

***

Record 3
A relaxed Ce4Pr3ThS8 crystal, computed with PBE.

Cell: 8.1108 8.1108 8.1108 Å, 60.03 60.03 60.03°
Closest atoms and distances in Å follow each position.
Positions (direct):
1 Ce 0.0000 0.0000 0.0000  6 S 2.86
2 Ce 0.0000 0.5000 0.5000  6 S 2.84-2.85
3 Ce 0.5000 0.0000 0.5000  6 S 2.84-2.85
4 Ce 0.5000 0.5000 0.0000  6 S 2.84-2.85
5 Pr 0.0000 0.0000 0.5000  6 S 2.89
6 Pr 0.0000 0.5000 0.0000  6 S 2.89
7 Pr 0.5000 0.0000 0.0000  6 S 2.89
8 Th 0.5000 0.5000 0.5000  6 S 2.87
9 S 0.2497 0.2497 0.7467  3 Ce 2.85-2.86, 1 Th 2.87, 2 Pr 2.89
10 S 0.2497 0.7467 0.2497  3 Ce 2.85-2.86, 1 Th 2.87, 2 Pr 2.89
11 S 0.2522 0.2522 0.2522  3 Ce 2.84, 3 Pr 2.89
12 S 0.2533 0.7503 0.7503  3 Ce 2.85-2.86, 1 Th 2.87, 2 Pr 2.89
13 S 0.7467 0.2497 0.2497  3 Ce 2.85-2.86, 1 Th 2.87, 2 Pr 2.89
14 S 0.7478 0.7478 0.7478  3 Ce 2.84, 3 Pr 2.89
15 S 0.7503 0.2533 0.7503  3 Ce 2.85-2.86, 1 Th 2.87, 2 Pr 2.89
16 S 0.7503 0.7503 0.2533  3 Ce 2.85-2.86, 1 Th 2.87, 2 Pr 2.89

Properties
Raw formation energy   -2.012 eV/atom